! Sr2CaCoO | Alexandria via LeMat-Bulk | PBE+U | relaxed; values from VASP
! VASP energy	-3.35	eV per atom
! size of the total moment	1.35	μB per formula unit
! space-group type	P4/mmm (123)
! D(E_F)	0.983	states/eV per atom
&SYSTEM
  ibrav = 0, nat = 5, ntyp = 4
/
ATOMIC_SPECIES
Ca 40.08 Ca.upf
Co 58.93 Co.upf
Sr 87.62 Sr.upf
O 16.00 O.upf
CELL_PARAMETERS angstrom
5.401 0.000 0.000
0.000 4.308 0.000
0.000 0.000 5.401
ATOMIC_POSITIONS angstrom
Ca 2.700 2.154 2.700
Co 0.000 2.154 0.000
Sr 2.700 0.000 0.000
Sr 0.000 0.000 2.700
O 0.000 0.000 0.000